Here is Tm4Zn5Ge6 at its PBEsol-relaxed geometry from Alexandria via LeMat-Bulk. Energies are from meta-GGA SCAN.

Properties
Total moment (μB/atom): 0.000
Formation enthalpy at 0 K (eV per formula unit): -9.0
N(E_F) (states/eV per cell): 4.72
Calculated density (g cm⁻³): 8.5

Cell: 4.1460 18.1163 14.9300 Å, 90.00 90.00 90.00°
Space group Cmc2_1 (No. 36)
Inequivalent atoms, fractional coordinates:
Tm 0.0000 0.0194 0.0000 [4 per cell]
Tm 0.0000 0.0326 0.7351 [4 per cell]
Tm 0.0000 0.1670 0.1956 [4 per cell]
Tm 0.0000 0.1750 0.5546 [4 per cell]
Zn 0.0000 0.1512 0.8720 [4 per cell]
Zn 0.0000 0.3012 0.8750 [4 per cell]
Zn 0.0000 0.3450 0.2244 [4 per cell]
Zn 0.0000 0.3495 0.5172 [4 per cell]
Zn 0.0000 0.4341 0.8117 [4 per cell]
Ge 0.0000 0.1113 0.3826 [4 per cell]
Ge 0.0000 0.2237 0.0142 [4 per cell]
Ge 0.0000 0.2287 0.7330 [4 per cell]
Ge 0.0000 0.4306 0.0893 [4 per cell]
Ge 0.0000 0.4339 0.3695 [4 per cell]
Ge 0.0000 0.4398 0.6438 [4 per cell]